A relaxed Li2Fe3NiO8 crystal, computed with GGA+U.

Cell lengths 5.7467, 5.7467, 9.5679 Å; angles 90.00, 90.00, 120.00 degrees
Last column: nearest neighbours and their distance in Å.
Space group P6_3mc (No. 186)
Asymmetric unit:
Li (0.0000, 0.0000, 0.0000)  4 O 1.77-1.88
Li (0.3333, 0.6667, 0.1079)  4 O 1.92-2.07
Fe (0.1685, 0.3371, 0.7848)  6 O 1.91-1.93
Ni (0.3333, 0.6667, 0.5101)  6 O 2.08-2.14
O (0.0000, 0.0000, 0.1854)  1 Li 1.77, 3 Fe 1.93
O (0.0337, 0.5169, 0.6710)  2 Fe 1.91, 1 Li 1.92
O (0.1580, 0.3161, 0.3917)  1 Li 1.88, 2 Fe 1.92, 1 Ni 2.08
O (0.3333, 0.6667, 0.8918)  3 Fe 1.93, 1 Li 2.07

Summary:
total energy	-5.69	eV/atom
excess energy over the best structure of this formula in the dataset	59	meV per atom